1.
CsLiAg2Ge (PBE, relaxed); formation energy from the elements = -25 meV per atom; total moment = 0.00 μB/atom; SG = P4/mmm (123)
1.0
-0.913 -0.349 -5.063
4.619 -2.189 -0.682
-2.150 -4.761 0.716
Cs Ge Ag Li
1 1 2 1
direct
0.500 0.500 0.500
0.000 0.000 0.000
0.000 0.500 0.000
0.500 0.000 0.000
0.000 0.000 0.500

---

2.
Tb5Pm12Sm (PBE, relaxed); formation energy from the elements = 39 meV per atom; total moment = 0.00 μB/atom; SG = C2/m (12)
1.0
-2.342 -10.449 5.804
6.819 -8.001 1.127
1.897 2.310 4.926
Tb Pm Sm
5 12 1
direct
0.500 0.000 0.500
0.135 0.729 0.500
0.865 0.271 0.500
0.635 0.729 0.000
0.365 0.271 0.000
0.797 0.000 0.496
0.203 0.000 0.504
0.700 0.000 0.996
0.300 0.000 0.004
0.331 0.639 0.000
0.030 0.639 0.000
0.970 0.361 0.000
0.669 0.361 0.000
0.470 0.361 0.501
0.831 0.639 0.501
0.169 0.361 0.499
0.530 0.639 0.499
0.000 0.000 0.000

---

3.
AcHo4Tl5 (PBE, relaxed); formation energy from the elements = -329 meV per atom; total moment = 0.00 μB/atom; SG = P4/mmm (123)
1.0
3.797 0.000 0.000
0.000 3.797 0.000
0.000 0.000 19.796
Ac Ho Tl
1 4 5
direct
0.000 0.000 0.000
0.000 0.000 0.213
0.000 0.000 0.405
0.000 0.000 0.595
0.000 0.000 0.787
0.500 0.500 0.119
0.500 0.500 0.311
0.500 0.500 0.500
0.500 0.500 0.689
0.500 0.500 0.881

---

4.
MnNbSn3 (PBE, relaxed); formation energy from the elements = 705 meV per atom; total moment = 1.20 μB/atom; SG = Pm-3m (221); offset from the most stable computed form = 0.0 kJ/mol of atoms
1.0
5.379 0.000 0.000
0.000 5.379 0.000
0.000 0.000 5.379
Nb Mn Sn
1 1 3
direct
0.000 0.000 0.000
0.500 0.500 0.500
0.000 0.500 0.000
0.000 0.000 0.500
0.500 0.000 0.000

---

5.
TmTh2Sn (PBE, relaxed); formation energy from the elements = -232 meV per atom; total moment = 0.00 μB/atom; SG = P4/mmm (123); offset from the most stable computed form = 10.4 kJ/mol of atoms
1.0
-0.041 4.126 -0.701
0.112 -0.700 -4.125
-6.939 -0.098 -0.172
Tm Sn Th
1 1 2
direct
0.500 0.500 0.500
0.500 0.500 0.000
0.000 0.000 0.770
0.000 0.000 0.230

---

6.
ZrAlTc2 (PBE, relaxed); formation energy from the elements = -173 meV per atom; total moment = 0.00 μB/atom; SG = Pmmm (47)
1.0
3.425 0.000 0.000
0.000 4.581 0.000
0.000 0.000 4.164
Tc Zr Al
2 1 1
direct
0.000 0.000 0.000
0.500 0.500 0.000
0.500 0.000 0.500
0.000 0.500 0.500

---

7.
K2SrRu (PBE, relaxed); formation energy from the elements = 693 meV per atom; total moment = 0.19 μB/atom; SG = Cm (8); offset from the most stable computed form = 5.1 kJ/mol of atoms
1.0
-1.660 4.409 -2.772
-2.230 1.491 -4.763
-9.746 0.629 1.870
K Ru Sr
2 1 1
direct
0.009 0.009 0.070
0.852 0.852 0.680
0.454 0.454 0.375
0.185 0.185 0.375

---

8.
Li2AlSi (PBE, relaxed); formation energy without anion corrections = -0.354 eV/f.u.; total moment = 0.00 μB/atom; SG = P4mm (99)
1.0
3.351 0.000 0.000
0.000 3.351 0.000
0.000 0.000 5.635
Al Li Si
1 2 1
direct
0.500 0.500 0.731
0.000 0.000 0.999
0.500 0.500 0.260
0.000 0.000 0.510

---

What is the formula in the fifth record?
TmTh2Sn

---

Look up the total moment of the seventh one.
0.19 μB/atom

---

Which value of total moment does entry 5 give?
0.00 μB/atom

---

Which formula does entry 2 have?
Tb5Pm12Sm